one) The following is a PBE calculation of a relaxed structure of MgSnH, from Alexandria.

Lattice parameters (Å, degrees): 3.279 3.279 5.623 90.00 90.00 120.00
Atoms (fractional coordinates):
H (0.333, 0.667, 0.500)
Mg (0.667, 0.333, 0.500)
Sn (0.000, 0.000, 0.000)

Properties
SG: P-6m2 (187)
Magnetic moment in μB/atom: 0.00

---

two) The following is a PBE calculation of a relaxed structure of MgSnH, from Alexandria.

Lattice parameters (Å, degrees): 3.997 3.997 6.314 90.00 90.00 90.00
Atoms (fractional coordinates):
Sn (0.250, 0.750, 0.408)
Mg (0.750, 0.250, 0.114)
Sn (0.750, 0.250, 0.592)
Mg (0.250, 0.750, 0.886)
H (0.250, 0.250, 0.000)
H (0.750, 0.750, 0.000)

Properties
SG: P4/nmm (129)
Magnetic moment in μB/atom: 0.00

---

Quick ranking, most stable first: two), one).

---

one) The following is a PBE calculation of a relaxed structure of Mg3SnH, from Alexandria.

Lattice parameters (Å, degrees): 4.472 4.472 4.472 90.00 90.00 90.00
Atoms (fractional coordinates):
Mg (0.000, 0.000, 0.500)
H (0.000, 0.000, 0.000)
Mg (0.000, 0.500, 0.000)
Sn (0.500, 0.500, 0.500)
Mg (0.500, 0.000, 0.000)

Properties
SG: Pm-3m (221)
Magnetic moment in μB/atom: 0.00

---

two) The following is a PBE calculation of a relaxed structure of Mg3SnH, from Alexandria.

Lattice parameters (Å, degrees): 5.460 5.460 5.460 90.00 90.00 90.00
Atoms (fractional coordinates):
Sn (0.000, 0.000, 0.000)
H (0.500, 0.500, 0.500)
Mg (0.000, 0.000, 0.500)
Mg (0.000, 0.500, 0.000)
Mg (0.500, 0.000, 0.000)

Properties
SG: Pm-3m (221)
Magnetic moment in μB/atom: 0.00

---

Quick ranking, most stable first: one), two).

---

one) The following is a PBE calculation of a relaxed structure of SrMg2H, from Alexandria.

Lattice parameters (Å, degrees): 6.566 6.566 6.564 59.99 59.99 90.00
Atoms (fractional coordinates):
Mg (0.375, 0.125, 0.250)
H (0.500, 0.500, 0.000)
Sr (0.000, 0.000, 0.000)
Mg (0.875, 0.625, 0.750)
Sr (0.750, 0.250, 0.500)
Mg (0.375, 0.625, 0.250)
Mg (0.375, 0.625, 0.750)
H (0.250, 0.750, 0.500)

Properties
SG: Fd-3m (227)
Magnetic moment in μB/atom: 0.00

---

two) The following is a PBE calculation of a relaxed structure of SrMg2H, from Alexandria.

Lattice parameters (Å, degrees): 5.465 5.465 5.465 60.00 60.00 60.00
Atoms (fractional coordinates):
Mg (0.250, 0.250, 0.250)
H (0.000, 0.000, 0.000)
Mg (0.750, 0.750, 0.750)
Sr (0.500, 0.500, 0.500)

Properties
SG: Fm-3m (225)
Magnetic moment in μB/atom: 0.00

---

Quick ranking, most stable first: one), two).

---

one) The following is a PBE calculation of a relaxed structure of Sr2MgZnH, from Alexandria.

Lattice parameters (Å, degrees): 5.355 5.355 4.420 90.00 90.00 90.00
Atoms (fractional coordinates):
Sr (0.500, 0.000, 0.000)
Zn (0.000, 0.000, 0.500)
Sr (0.000, 0.500, 0.000)
Mg (0.500, 0.500, 0.500)
H (0.000, 0.000, 0.000)

Properties
SG: P4/mmm (123)
Magnetic moment in μB/atom: 0.00

---

two) The following is a PBE calculation of a relaxed structure of Sr2MgZnH, from Alexandria.

Lattice parameters (Å, degrees): 5.324 5.324 4.429 90.00 90.00 90.00
Atoms (fractional coordinates):
Sr (0.500, 0.000, 0.000)
Sr (0.000, 0.500, 0.000)
Mg (0.000, 0.000, 0.500)
Zn (0.500, 0.500, 0.500)
H (0.000, 0.000, 0.000)

Properties
SG: P4/mmm (123)
Magnetic moment in μB/atom: 0.00

---

Quick ranking, most stable first: two), one).